Computed, not measured: a relaxed Pa2CdB crystal at the PBE level of DFT.

Computed properties:
* volume: 94 Å³/cell
* DFT total energy: -6.4714 eV/atom
* ΔE_f: 0.70 eV/f.u.
* crystal system: trigonal
* space-group type: No. 166

Unit cell a=10.060 b=10.060 c=10.060 alpha=18.99 beta=18.99 gamma=18.99
Element x y z (fractional)
Pa (0.114, 0.114, 0.114)
Pa (0.886, 0.886, 0.886)
Cd (0.000, 0.000, 0.000)
B (0.500, 0.500, 0.500)